This record from the Alexandria database describes an optimized crystal structure of Ta2BeOF. The functional is GGA-PBE.

Cell: 4.0872 4.0872 4.1788 Å, 90.00 90.00 90.00°
Fractional coordinates of all 5 atoms:
Ta  0.0000  0.5000  0.0000
Ta  0.5000  0.0000  0.0000
Be  0.0000  0.0000  0.5000
O  0.5000  0.5000  0.5000
F  0.5000  0.5000  0.0000

SG: P4/mmm (123)
Formation energy (no corrections) in eV per formula unit: 1.77